This record from Alexandria via LeMat-Bulk describes a geometry-optimized Rb2FePdO4 structure. The functional is PBE+U.

POSCAR file:
```
Rb2FePdO4
1.0
0.000 6.599 9.701
2.821 0.000 9.701
2.821 6.599 0.000
Rb Fe Pd O
4 2 2 8
direct
0.053 0.053 0.697
0.303 0.303 0.947
0.697 0.697 0.053
0.947 0.947 0.303
0.375 0.375 0.375
0.625 0.625 0.625
0.125 0.125 0.125
0.875 0.875 0.875
0.012 0.683 0.544
0.260 0.544 0.683
0.317 0.988 0.740
0.456 0.740 0.988
0.544 0.260 0.012
0.683 0.012 0.260
0.740 0.456 0.317
0.988 0.317 0.456
```

Output
ρ: 3.65 g cm⁻³
Volume: 22.57 A^3/atom
Final energy: -5.04 eV/atom